Record 1
A geometry-optimized SrHf3Si structure. Source: the Alexandria database, functional GGA-PBE.

abc: 5.084 5.084 5.084
angles: 90.00 90.00 90.00
Positions (direct):
1 Sr 0.000 0.000 0.000
2 Hf 0.000 0.000 0.500
3 Hf 0.000 0.500 0.000
4 Hf 0.500 0.000 0.000
5 Si 0.500 0.500 0.500

Computed properties:
* energy relative to the elements, uncorrected: 2.29 eV per atom



Record 2
A geometry-optimized Pt2I6Cl structure. Source: the Alexandria database, functional GGA-PBE.

abc: 8.001 8.001 11.112
angles: 94.57 94.57 29.23
Positions (direct):
1 Pt 0.241 0.241 0.160
2 Pt 0.759 0.759 0.840
3 I 0.126 0.126 0.329
4 I 0.171 0.171 0.721
5 I 0.351 0.351 0.967
6 I 0.649 0.649 0.033
7 I 0.829 0.829 0.279
8 I 0.874 0.874 0.671
9 Cl 0.000 0.000 0.500

Computed properties:
* energy relative to the elements, uncorrected: -0.05 eV per atom



Record 3
A geometry-optimized CdReRu2 structure. Source: the Alexandria database, functional GGA-PBE.

abc: 2.770 4.029 5.665
angles: 90.00 90.00 90.00
Positions (direct):
1 Cd 0.000 0.000 0.000
2 Re 0.500 0.500 0.305
3 Ru 0.000 0.000 0.493
4 Ru 0.500 0.500 0.740

Computed properties:
* energy relative to the elements: 0.384 eV/atom



Record 4
A geometry-optimized Ca3MgTl structure. Source: the Alexandria database, functional GGA-PBE.

abc: 5.994 5.994 5.994
angles: 90.00 90.00 90.00
Positions (direct):
1 Ca 0.000 0.000 0.500
2 Ca 0.000 0.500 0.000
3 Ca 0.500 0.000 0.000
4 Mg 0.500 0.500 0.500
5 Tl 0.000 0.000 0.000

Computed properties:
* energy relative to the elements: 0.105 eV/atom



Record 5
A geometry-optimized BAuF2 structure. Source: the Alexandria database, functional GGA-PBE.

abc: 4.150 4.150 4.150
angles: 60.00 60.00 60.00
Positions (direct):
1 B 0.000 0.000 0.000
2 Au 0.500 0.500 0.500
3 F 0.250 0.250 0.250
4 F 0.750 0.750 0.750

Computed properties:
* energy relative to the elements, uncorrected: 0.37 eV per atom



Record 6
A geometry-optimized AcMgAl2Pt2 structure. Source: the Alexandria database, functional GGA-PBE.

abc: 4.440 4.440 7.324
angles: 90.00 90.00 120.00
Positions (direct):
1 Ac 0.000 0.000 0.000
2 Mg 0.000 0.000 0.500
3 Al 0.333 0.667 0.332
4 Al 0.667 0.333 0.668
5 Pt 0.333 0.667 0.697
6 Pt 0.667 0.333 0.303

Computed properties:
* energy relative to the elements: -0.960 eV/atom



Record 7
A geometry-optimized La8IrRh3Au4 structure. Source: the Alexandria database, functional GGA-PBE.

abc: 8.750 8.750 8.750
angles: 57.75 57.75 57.75
Positions (direct):
1 La 0.240 0.240 0.240
2 La 0.241 0.739 0.739
3 La 0.261 0.261 0.759
4 La 0.261 0.759 0.261
5 La 0.739 0.241 0.739
6 La 0.739 0.739 0.241
7 La 0.759 0.261 0.261
8 La 0.760 0.760 0.760
9 Ir 0.500 0.500 0.500
10 Rh 0.000 0.000 0.500
11 Rh 0.000 0.500 0.000
12 Rh 0.500 0.000 0.000
13 Au 0.000 0.000 0.000
14 Au 0.000 0.500 0.500
15 Au 0.500 0.000 0.500
16 Au 0.500 0.500 0.000

Computed properties:
* energy relative to the elements: -0.778 eV/atom



Record 8
A geometry-optimized V3ReW4 structure. Source: the Alexandria database, functional GGA-PBE.

abc: 8.764 5.265 5.291
angles: 90.00 90.00 90.00
Positions (direct):
1 V 0.000 0.246 0.000
2 V 0.250 0.127 0.756
3 V 0.250 0.873 0.256
4 V 0.500 0.754 0.500
5 V 0.750 0.127 0.756
6 V 0.750 0.873 0.256
7 Re 0.000 0.752 0.009
8 Re 0.500 0.248 0.509
9 W 0.000 0.001 0.506
10 W 0.000 0.498 0.503
11 W 0.250 0.368 0.253
12 W 0.250 0.632 0.753
13 W 0.500 0.502 0.003
14 W 0.500 0.999 0.006
15 W 0.750 0.368 0.253
16 W 0.750 0.632 0.753

Computed properties:
* energy relative to the elements: 0.073 eV/atom



Record 9
A geometry-optimized LaNiMo2 structure. Source: the Alexandria database, functional GGA-PBE.

abc: 3.297 3.297 7.009
angles: 90.00 90.00 90.00
Positions (direct):
1 La 0.000 0.000 0.000
2 Ni 0.000 0.000 0.500
3 Mo 0.500 0.500 0.333
4 Mo 0.500 0.500 0.667

Computed properties:
* energy relative to the elements: 0.399 eV/atom



Record 10
A geometry-optimized Ac3Ge2N structure. Source: the Alexandria database, functional GGA-PBE.

abc: 7.932 7.932 7.932
angles: 151.12 132.73 56.34
Positions (direct):
1 Ac 0.000 0.000 0.000
2 Ac 0.367 0.367 0.000
3 Ac 0.633 0.633 0.000
4 Ge 0.176 0.676 0.500
5 Ge 0.824 0.324 0.500
6 N 0.500 0.000 0.500

Computed properties:
* energy relative to the elements, uncorrected: -0.62 eV per atom



Record 11
A geometry-optimized NpHg3Cl6 structure. Source: the Alexandria database, functional GGA-PBE.

abc: 6.320 6.320 9.456
angles: 90.00 90.00 120.00
Positions (direct):
1 Np 0.000 0.000 0.000
2 Hg 0.000 0.000 0.500
3 Hg 0.333 0.667 0.500
4 Hg 0.667 0.333 0.500
5 Cl 0.000 0.316 0.844
6 Cl 0.000 0.684 0.156
7 Cl 0.316 0.000 0.844
8 Cl 0.316 0.316 0.156
9 Cl 0.684 0.000 0.156
10 Cl 0.684 0.684 0.844

Computed properties:
* energy relative to the elements, uncorrected: -0.91 eV per atom



Record 12
A geometry-optimized Ac3Mg2Sn3 structure. Source: the Alexandria database, functional GGA-PBE.

abc: 11.889 11.889 11.889
angles: 157.92 155.84 32.96
Positions (direct):
1 Ac 0.000 0.000 0.000
2 Ac 0.372 0.872 0.500
3 Ac 0.628 0.128 0.500
4 Mg 0.250 0.250 0.000
5 Mg 0.750 0.750 0.000
6 Sn 0.165 0.665 0.500
7 Sn 0.500 0.500 0.000
8 Sn 0.835 0.335 0.500

Computed properties:
* energy relative to the elements: -0.468 eV/atom